Pm2Ho7Er3 | PBE | optimized geometry

a = 6.299 Å, b = 3.499 Å, c = 17.338 Å
α = 90.00°, β = 96.22°, γ = 90.00°
Positions (direct):
1 Pm 0.060 0.000 0.173
2 Pm 0.940 0.000 0.827
3 Ho 0.000 0.500 0.500
4 Ho 0.228 0.000 0.667
5 Ho 0.256 0.000 0.999
6 Ho 0.275 0.500 0.337
7 Ho 0.725 0.500 0.663
8 Ho 0.744 0.000 0.001
9 Ho 0.772 0.000 0.333
10 Er 0.452 0.500 0.843
11 Er 0.500 0.000 0.500
12 Er 0.548 0.500 0.157

Values from the calculation:
Space group = P2/m, No. 10
DFT formation energy = 0.078 eV/atom

Pm4Ho4Er5 | PBE | optimized geometry

a = 9.414 Å, b = 9.414 Å, c = 9.414 Å
α = 94.07°, β = 94.07°, γ = 149.09°
Positions (direct):
1 Pm 0.078 0.383 0.461
2 Pm 0.383 0.922 0.304
3 Pm 0.617 0.078 0.696
4 Pm 0.922 0.617 0.539
5 Ho 0.153 0.771 0.924
6 Ho 0.229 0.153 0.383
7 Ho 0.771 0.847 0.617
8 Ho 0.847 0.229 0.076
9 Er 0.000 0.000 0.000
10 Er 0.310 0.539 0.849
11 Er 0.461 0.310 0.771
12 Er 0.539 0.690 0.229
13 Er 0.690 0.461 0.151

Values from the calculation:
Space group = I4/m, No. 87
DFT formation energy = 0.020 eV/atom

PmHo4Er6 | PBE | optimized geometry

a = 8.406 Å, b = 8.406 Å, c = 8.406 Å
α = 126.14°, β = 126.14°, γ = 79.66°
Positions (direct):
1 Pm 0.000 0.000 0.000
2 Ho 0.258 0.258 0.669
3 Ho 0.411 0.742 0.000
4 Ho 0.589 0.589 0.331
5 Ho 0.742 0.411 0.000
6 Er 0.000 0.500 0.500
7 Er 0.062 0.567 0.000
8 Er 0.433 0.433 0.495
9 Er 0.500 0.000 0.500
10 Er 0.567 0.062 0.000
11 Er 0.938 0.938 0.505

Values from the calculation:
Space group = I-42m, No. 121
DFT formation energy = 0.457 eV/atom

E / eV/atom: -4.525, -4.605, -4.128